[1]
# PBE-GGA Sm4Er2Sc5, relaxed
data_Sm4Er2Sc5
_chemical_formula_sum 'Sm4 Er2 Sc5'
_cell_length_a 3.566
_cell_length_b 8.702
_cell_length_c 11.919
_cell_angle_alpha 118.81
_cell_angle_beta 98.60
_cell_angle_gamma 90.00
_symmetry_space_group_name_H-M 'P 1'
_symmetry_Int_Tables_number 1
_symmetry_space_group_name_Hall 'P 1'
loop_
_atom_site_label
_atom_site_type_symbol
_atom_site_fract_x
_atom_site_fract_y
_atom_site_fract_z
Sc1 Sc 0.789 0.166 0.578
Sm1 Sm 0.427 0.277 0.854
Sc2 Sc 0.703 0.521 0.405
Sm2 Sm 0.573 0.723 0.146
Sm3 Sm 0.928 0.628 0.856
Sc3 Sc 0.297 0.479 0.595
Sc4 Sc 0.211 0.834 0.422
Sm4 Sm 0.072 0.372 0.144
Sc5 Sc 0.500 0.000 0.000
Er1 Er 0.847 0.871 0.695
Er2 Er 0.153 0.129 0.305
# - Density: 6.04 g/cm3
# - ΔE_f: 0.062 eV per atom
# - Final energy: -5.36 eV/atom
# - Spin magnetization: 0.000 μB/atom



[2]
# PBE-GGA Sm3Er5Sc, relaxed
data_Sm3Er5Sc
_chemical_formula_sum 'Sm6 Er10 Sc2'
_cell_length_a 8.207
_cell_length_b 8.207
_cell_length_c 11.498
_cell_angle_alpha 68.46
_cell_angle_beta 68.46
_cell_angle_gamma 84.82
_symmetry_space_group_name_H-M 'P 1'
_symmetry_Int_Tables_number 1
_symmetry_space_group_name_Hall 'P 1'
loop_
_atom_site_label
_atom_site_type_symbol
_atom_site_fract_x
_atom_site_fract_y
_atom_site_fract_z
Sm1 Sm 0.679 0.679 0.758
Sm2 Sm 0.000 0.000 0.500
Sc1 Sc 0.065 0.065 0.212
Sm3 Sm 0.781 0.781 0.344
Er1 Er 0.921 0.432 0.190
Er2 Er 0.568 0.079 0.810
Sm4 Sm 0.321 0.321 0.242
Er3 Er 0.494 0.494 0.371
Er4 Er 0.284 0.716 0.000
Sm5 Sm 0.219 0.219 0.656
Er5 Er 0.079 0.568 0.810
Sm6 Sm 0.000 0.000 0.000
Er6 Er 0.506 0.506 0.629
Sc2 Sc 0.935 0.935 0.788
Er7 Er 0.716 0.284 0.000
Er8 Er 0.432 0.921 0.190
Er9 Er 0.678 0.678 0.041
Er10 Er 0.322 0.322 0.959
# - Density: 6.61 g/cm3
# - ΔE_f: 0.580 eV per atom
# - Final energy: -4.23 eV/atom
# - Spin magnetization: 0.000 μB/atom



[3]
# PBE-GGA Sm12Er5Sc2, relaxed
data_Sm12Er5Sc2
_chemical_formula_sum 'Sm12 Er5 Sc2'
_cell_length_a 10.589
_cell_length_b 9.043
_cell_length_c 8.001
_cell_angle_alpha 85.87
_cell_angle_beta 90.00
_cell_angle_gamma 125.84
_symmetry_space_group_name_H-M 'P 1'
_symmetry_Int_Tables_number 1
_symmetry_space_group_name_Hall 'P 1'
loop_
_atom_site_label
_atom_site_type_symbol
_atom_site_fract_x
_atom_site_fract_y
_atom_site_fract_z
Er1 Er 0.759 0.518 0.487
Sm1 Sm 0.556 0.112 0.288
Sc1 Sc 0.278 0.000 0.000
Er2 Er 0.343 0.686 0.097
Er3 Er 0.241 0.482 0.513
Sm2 Sm 0.166 0.790 0.377
Sm3 Sm 0.444 0.888 0.712
Sm4 Sm 0.624 0.790 0.377
Sm5 Sm 0.596 0.640 0.791
Sm6 Sm 0.123 0.245 0.902
Sm7 Sm 0.834 0.210 0.623
Er4 Er 0.000 0.000 0.500
Sm8 Sm 0.877 0.755 0.098
Sm9 Sm 0.376 0.210 0.623
Sm10 Sm 0.404 0.360 0.209
Sm11 Sm 0.045 0.640 0.791
Sc2 Sc 0.722 0.000 0.000
Sm12 Sm 0.955 0.360 0.209
Er5 Er 0.657 0.314 0.903
# - Density: 7.33 g/cm3
# - ΔE_f: 0.136 eV per atom
# - Final energy: -4.71 eV/atom
# - Spin magnetization: 0.000 μB/atom



[4]
# PBE-GGA Sm3Er2Sc4, relaxed
data_Sm3Er2Sc4
_chemical_formula_sum 'Sm6 Er4 Sc8'
_cell_length_a 5.788
_cell_length_b 10.828
_cell_length_c 10.828
_cell_angle_alpha 62.40
_cell_angle_beta 64.11
_cell_angle_gamma 64.11
_symmetry_space_group_name_H-M 'P 1'
_symmetry_Int_Tables_number 1
_symmetry_space_group_name_Hall 'P 1'
loop_
_atom_site_label
_atom_site_type_symbol
_atom_site_fract_x
_atom_site_fract_y
_atom_site_fract_z
Sc1 Sc 0.112 0.135 0.408
Sm1 Sm 0.250 0.620 0.380
Sc2 Sc 0.937 0.175 0.921
Sm2 Sm 0.750 0.380 0.620
Sm3 Sm 0.716 0.730 0.948
Er1 Er 0.446 0.249 0.504
Sc3 Sc 0.612 0.408 0.135
Sc4 Sc 0.888 0.865 0.592
Er2 Er 0.554 0.751 0.496
Er3 Er 0.054 0.496 0.751
Sm4 Sm 0.216 0.948 0.730
Sm5 Sm 0.284 0.270 0.052
Sc5 Sc 0.388 0.592 0.865
Sc6 Sc 0.063 0.825 0.079
Sc7 Sc 0.437 0.921 0.175
Sc8 Sc 0.563 0.079 0.825
Sm6 Sm 0.784 0.052 0.270
Er4 Er 0.946 0.504 0.249
# - Density: 6.20 g/cm3
# - ΔE_f: 0.120 eV per atom
# - Final energy: -5.28 eV/atom
# - Spin magnetization: 0.000 μB/atom



[5]
# PBE-GGA SmEr2Sc2, relaxed
data_SmEr2Sc2
_chemical_formula_sum 'Sm1 Er2 Sc2'
_cell_length_a 3.370
_cell_length_b 5.506
_cell_length_c 8.408
_cell_angle_alpha 109.11
_cell_angle_beta 90.00
_cell_angle_gamma 90.00
_symmetry_space_group_name_H-M 'P 1'
_symmetry_Int_Tables_number 1
_symmetry_space_group_name_Hall 'P 1'
loop_
_atom_site_label
_atom_site_type_symbol
_atom_site_fract_x
_atom_site_fract_y
_atom_site_fract_z
Sc1 Sc 0.700 0.211 0.422
Sm1 Sm 0.200 0.021 0.041
Er1 Er 0.700 0.595 0.191
Sc2 Sc 0.200 0.778 0.557
Er2 Er 0.200 0.395 0.790
# - Density: 6.47 g/cm3
# - ΔE_f: 0.152 eV per atom
# - Final energy: -5.15 eV/atom
# - Spin magnetization: 0.108 μB/atom



[6]
# PBE-GGA Sm3Er6Sc, relaxed
data_Sm3Er6Sc
_chemical_formula_sum 'Sm6 Er12 Sc2'
_cell_length_a 6.175
_cell_length_b 10.842
_cell_length_c 10.842
_cell_angle_alpha 119.84
_cell_angle_beta 90.00
_cell_angle_gamma 90.00
_symmetry_space_group_name_H-M 'P 1'
_symmetry_Int_Tables_number 1
_symmetry_space_group_name_Hall 'P 1'
loop_
_atom_site_label
_atom_site_type_symbol
_atom_site_fract_x
_atom_site_fract_y
_atom_site_fract_z
Er1 Er 0.135 0.721 0.279
Er2 Er 0.916 0.048 0.952
Sc1 Sc 0.134 0.206 0.794
Sm1 Sm 0.457 0.280 0.056
Sm2 Sm 0.957 0.056 0.280
Er3 Er 0.368 0.041 0.461
Sm3 Sm 0.957 0.720 0.944
Er4 Er 0.416 0.952 0.048
Er5 Er 0.368 0.539 0.959
Er6 Er 0.868 0.461 0.041
Er7 Er 0.635 0.279 0.721
Er8 Er 0.042 0.382 0.289
Sc2 Sc 0.634 0.794 0.206
Er9 Er 0.042 0.711 0.618
Er10 Er 0.542 0.618 0.711
Er11 Er 0.868 0.959 0.539
Sm4 Sm 0.457 0.944 0.720
Er12 Er 0.542 0.289 0.382
Sm5 Sm 0.067 0.389 0.611
Sm6 Sm 0.567 0.611 0.389
# - Density: 7.91 g/cm3
# - ΔE_f: 0.148 eV per atom
# - ΔE to the lowest computed polymorph: 116.2 meV/atom
# - Final energy: -4.64 eV/atom
# - Spin magnetization: 0.000 μB/atom



[7]
# PBE-GGA Sm5Er2Sc, relaxed
data_Sm5Er2Sc
_chemical_formula_sum 'Sm10 Er4 Sc2'
_cell_length_a 9.868
_cell_length_b 6.677
_cell_length_c 10.458
_cell_angle_alpha 117.53
_cell_angle_beta 118.15
_cell_angle_gamma 90.00
_symmetry_space_group_name_H-M 'P 1'
_symmetry_Int_Tables_number 1
_symmetry_space_group_name_Hall 'P 1'
loop_
_atom_site_label
_atom_site_type_symbol
_atom_site_fract_x
_atom_site_fract_y
_atom_site_fract_z
Sm1 Sm 0.288 0.864 0.420
Sm2 Sm 0.937 0.750 0.000
Sm3 Sm 0.302 0.964 0.808
Sm4 Sm 0.868 0.636 0.580
Sc1 Sc 0.500 0.500 0.500
Sm5 Sm 0.506 0.464 0.808
Er1 Er 0.345 0.018 0.178
Sm6 Sm 0.712 0.136 0.580
Sm7 Sm 0.494 0.536 0.192
Sm8 Sm 0.063 0.250 0.000
Er2 Er 0.655 0.982 0.822
Sm9 Sm 0.132 0.364 0.420
Sc2 Sc 0.000 0.000 0.500
Er3 Er 0.833 0.518 0.178
Sm10 Sm 0.698 0.036 0.192
Er4 Er 0.167 0.482 0.822
# - Density: 7.26 g/cm3
# - ΔE_f: 0.127 eV per atom
# - ΔE to the lowest computed polymorph: 11.1 meV/atom
# - Final energy: -4.75 eV/atom
# - Spin magnetization: 0.000 μB/atom



[8]
# PBE-GGA SmEr6Sc, relaxed
data_SmEr6Sc
_chemical_formula_sum 'Sm1 Er6 Sc1'
_cell_length_a 6.906
_cell_length_b 6.906
_cell_length_c 6.906
_cell_angle_alpha 110.14
_cell_angle_beta 110.14
_cell_angle_gamma 110.14
_symmetry_space_group_name_H-M 'P 1'
_symmetry_Int_Tables_number 1
_symmetry_space_group_name_Hall 'P 1'
loop_
_atom_site_label
_atom_site_type_symbol
_atom_site_fract_x
_atom_site_fract_y
_atom_site_fract_z
Sm1 Sm 0.000 0.000 0.000
Er1 Er 0.251 0.251 0.737
Er2 Er 0.251 0.737 0.251
Er3 Er 0.749 0.263 0.749
Er4 Er 0.263 0.749 0.749
Er5 Er 0.749 0.749 0.263
Er6 Er 0.737 0.251 0.251
Sc1 Sc 0.500 0.500 0.500
# - Density: 8.06 g/cm3
# - ΔE_f: 0.245 eV per atom
# - ΔE to the lowest computed polymorph: 34.0 meV/atom
# - Final energy: -4.56 eV/atom
# - Spin magnetization: 0.022 μB/atom



[9]
# PBE-GGA SmEr3Sc4, relaxed
data_SmEr3Sc4
_chemical_formula_sum 'Sm2 Er6 Sc8'
_cell_length_a 5.994
_cell_length_b 6.940
_cell_length_c 10.770
_cell_angle_alpha 90.00
_cell_angle_beta 90.00
_cell_angle_gamma 90.00
_symmetry_space_group_name_H-M 'P 1'
_symmetry_Int_Tables_number 1
_symmetry_space_group_name_Hall 'P 1'
loop_
_atom_site_label
_atom_site_type_symbol
_atom_site_fract_x
_atom_site_fract_y
_atom_site_fract_z
Sc1 Sc 0.978 0.117 0.748
Sm1 Sm 0.144 0.366 0.000
Er1 Er 0.142 0.367 0.500
Er2 Er 0.486 0.366 0.749
Er3 Er 0.642 0.633 0.000
Er4 Er 0.986 0.634 0.751
Er5 Er 0.486 0.366 0.251
Sm2 Sm 0.644 0.634 0.500
Sc2 Sc 0.478 0.883 0.752
Sc3 Sc 0.650 0.117 0.500
Sc4 Sc 0.150 0.883 0.000
Sc5 Sc 0.651 0.116 0.000
Sc6 Sc 0.478 0.883 0.248
Er6 Er 0.986 0.634 0.249
Sc7 Sc 0.151 0.884 0.500
Sc8 Sc 0.978 0.117 0.252
# - Density: 6.17 g/cm3
# - ΔE_f: 0.027 eV per atom
# - Final energy: -5.44 eV/atom
# - Spin magnetization: 0.000 μB/atom



[10]
# PBE-GGA Sm4Er10Sc, relaxed
data_Sm4Er10Sc
_chemical_formula_sum 'Sm4 Er10 Sc1'
_cell_length_a 7.669
_cell_length_b 8.822
_cell_length_c 8.822
_cell_angle_alpha 79.11
_cell_angle_beta 64.24
_cell_angle_gamma 64.24
_symmetry_space_group_name_H-M 'P 1'
_symmetry_Int_Tables_number 1
_symmetry_space_group_name_Hall 'P 1'
loop_
_atom_site_label
_atom_site_type_symbol
_atom_site_fract_x
_atom_site_fract_y
_atom_site_fract_z
Er1 Er 0.713 0.792 0.208
Er2 Er 0.287 0.208 0.792
Er3 Er 0.495 0.792 0.792
Sm1 Sm 0.770 0.461 0.000
Er4 Er 0.713 0.208 0.792
Er5 Er 0.920 0.792 0.792
Sm2 Sm 0.231 0.000 0.539
Sm3 Sm 0.230 0.539 0.000
Er6 Er 0.250 0.500 0.500
Er7 Er 0.750 0.500 0.500
Er8 Er 0.080 0.208 0.208
Sc1 Sc 0.000 0.000 0.000
Sm4 Sm 0.769 0.000 0.461
Er9 Er 0.505 0.208 0.208
Er10 Er 0.287 0.792 0.208
# - Density: 7.95 g/cm3
# - ΔE_f: 0.263 eV per atom
# - Final energy: -4.46 eV/atom
# - Spin magnetization: 0.000 μB/atom



[11]
# PBE-GGA Sm4ErSc3, relaxed
data_Sm4ErSc3
_chemical_formula_sum 'Sm8 Er2 Sc6'
_cell_length_a 6.911
_cell_length_b 6.931
_cell_length_c 9.858
_cell_angle_alpha 90.00
_cell_angle_beta 90.00
_cell_angle_gamma 90.00
_symmetry_space_group_name_H-M 'P 1'
_symmetry_Int_Tables_number 1
_symmetry_space_group_name_Hall 'P 1'
loop_
_atom_site_label
_atom_site_type_symbol
_atom_site_fract_x
_atom_site_fract_y
_atom_site_fract_z
Sc1 Sc 0.314 0.000 0.500
Sc2 Sc 0.814 0.000 0.000
Er1 Er 0.315 0.500 0.500
Sm1 Sm 0.814 0.000 0.500
Sm2 Sm 0.314 0.000 0.000
Sc3 Sc 0.564 0.248 0.750
Sm3 Sm 0.564 0.754 0.750
Sc4 Sc 0.564 0.248 0.250
Er2 Er 0.815 0.500 0.000
Sm4 Sm 0.064 0.246 0.750
Sm5 Sm 0.564 0.754 0.250
Sm6 Sm 0.064 0.246 0.250
Sm7 Sm 0.315 0.500 0.000
Sc5 Sc 0.064 0.752 0.750
Sm8 Sm 0.815 0.500 0.500
Sc6 Sc 0.064 0.752 0.250
# - Density: 6.35 g/cm3
# - ΔE_f: 0.049 eV per atom
# - Final energy: -5.25 eV/atom
# - Spin magnetization: 0.000 μB/atom



[12]
# PBE-GGA Sm5Er4Sc, relaxed
data_Sm5Er4Sc
_chemical_formula_sum 'Sm5 Er4 Sc1'
_cell_length_a 5.847
_cell_length_b 7.995
_cell_length_c 7.995
_cell_angle_alpha 82.32
_cell_angle_beta 68.55
_cell_angle_gamma 68.55
_symmetry_space_group_name_H-M 'P 1'
_symmetry_Int_Tables_number 1
_symmetry_space_group_name_Hall 'P 1'
loop_
_atom_site_label
_atom_site_type_symbol
_atom_site_fract_x
_atom_site_fract_y
_atom_site_fract_z
Er1 Er 0.769 0.675 0.675
Er2 Er 0.120 0.325 0.325
Sm1 Sm 0.149 0.000 0.627
Sm2 Sm 0.149 0.627 0.000
Er3 Er 0.445 0.325 0.675
Er4 Er 0.445 0.675 0.325
Sm3 Sm 0.672 0.000 0.000
Sm4 Sm 0.776 0.373 0.000
Sc1 Sc 0.209 0.000 0.000
Sm5 Sm 0.776 0.000 0.373
# - Density: 7.52 g/cm3
# - ΔE_f: 0.243 eV per atom
# - Final energy: -4.57 eV/atom
# - Spin magnetization: 0.000 μB/atom



> Among the records above, which one has the highest density?

SmEr6Sc



> Number 11 is which compound?

Sm4ErSc3



What did the first record say?
# PBE-GGA Sm4Er2Sc5, relaxed
data_Sm4Er2Sc5
_chemical_formula_sum 'Sm4 Er2 Sc5'
_cell_length_a 3.566
_cell_length_b 8.702
_cell_length_c 11.919
_cell_angle_alpha 118.81
_cell_angle_beta 98.60
_cell_angle_gamma 90.00
_symmetry_space_group_name_H-M 'P 1'
_symmetry_Int_Tables_number 1
_symmetry_space_group_name_Hall 'P 1'
loop_
_atom_site_label
_atom_site_type_symbol
_atom_site_fract_x
_atom_site_fract_y
_atom_site_fract_z
Sc1 Sc 0.789 0.166 0.578
Sm1 Sm 0.427 0.277 0.854
Sc2 Sc 0.703 0.521 0.405
Sm2 Sm 0.573 0.723 0.146
Sm3 Sm 0.928 0.628 0.856
Sc3 Sc 0.297 0.479 0.595
Sc4 Sc 0.211 0.834 0.422
Sm4 Sm 0.072 0.372 0.144
Sc5 Sc 0.500 0.000 0.000
Er1 Er 0.847 0.871 0.695
Er2 Er 0.153 0.129 0.305
# - Density: 6.04 g/cm3
# - ΔE_f: 0.062 eV per atom
# - Final energy: -5.36 eV/atom
# - Spin magnetization: 0.000 μB/atom



> Look up the spin magnetization of the eleventh one.

0.000 μB/atom